(1)
## TlSe2Cl4 (PBE)

Data for an optimized crystal structure of TlSe2Cl4.

Lattice parameters (Å, degrees): 8.517 8.754 8.754 64.03 73.21 106.79
Site moments in Bohr magnetons follow the coordinates.
Atoms (fractional coordinates):
Tl (0.500, 0.750, 0.750)  0.01
Se (0.619, 0.220, 0.843)  0.24
Se (0.381, 0.537, 0.399)  0.24
Cl (0.373, 0.260, 0.015)  0.05
Se (0.381, 0.843, 0.220)  0.24
Se (0.619, 0.399, 0.537)  0.24
Cl (0.627, 0.612, 0.114)  0.05
Cl (0.373, 0.114, 0.612)  0.05
Cl (0.180, 0.694, 0.126)  0.06
Cl (0.820, 0.694, 0.487)  0.06
Tl (0.000, 0.000, 0.000)  0.01
Cl (0.627, 0.015, 0.260)  0.05
Cl (0.820, 0.126, 0.694)  0.06
Cl (0.180, 0.487, 0.694)  0.06

Summary:
ΔE_f (raw) ... -0.410 eV per atom
Space-group type ... F222, No. 22

=====

(2)
## TlSe2Cl (PBE)

Data for an optimized crystal structure of TlSe2Cl.

Lattice parameters (Å, degrees): 6.545 6.545 6.545 147.06 121.71 68.60
Atoms (fractional coordinates):
Cl (0.209, 0.709, 0.500)
Se (0.010, 0.010, 0.000)
Se (0.854, 0.354, 0.500)
Tl (0.427, 0.427, 0.000)

Summary:
ΔE_f (raw) ... -0.315 eV per atom
Space-group type ... Imm2, No. 44
E above lowest polymorph ... 39 meV per atom

=====

(3)
## Tl7Se4Cl (PBE)

Data for an optimized crystal structure of Tl7Se4Cl.

Lattice parameters (Å, degrees): 5.803 8.825 10.148 126.79 102.64 93.46
Atoms (fractional coordinates):
Tl (0.827, 0.674, 0.093)
Tl (0.173, 0.326, 0.907)
Cl (0.000, 0.000, 0.000)
Tl (0.155, 0.445, 0.349)
Se (0.287, 0.928, 0.622)
Tl (0.740, 0.877, 0.535)
Se (0.398, 0.524, 0.777)
Tl (0.260, 0.123, 0.465)
Tl (0.845, 0.555, 0.651)
Se (0.602, 0.476, 0.223)
Tl (0.500, 0.000, 0.000)
Se (0.713, 0.072, 0.378)

Summary:
ΔE_f (raw) ... -0.399 eV per atom
Space-group type ... P-1, No. 2

=====

(4)
## TlSe3Cl (PBE)

Data for an optimized crystal structure of TlSe3Cl.

Lattice parameters (Å, degrees): 5.551 5.551 5.551 90.00 90.00 90.00
Site moments in Bohr magnetons follow the coordinates.
Atoms (fractional coordinates):
Se (0.000, 0.000, 0.500)  0.71
Se (0.500, 0.000, 0.000)  0.78
Se (0.000, 0.500, 0.000)  0.77
Cl (0.500, 0.500, 0.500)  0.47
Tl (0.000, 0.000, 0.000)  -0.03

Summary:
ΔE_f (raw) ... 0.751 eV per atom
Space-group type ... Pm-3m, No. 221
E above lowest polymorph ... 229 meV per atom

=====

What is the ΔE_f (raw) in the first record? -0.410 eV per atom